The following is a PBE-GGA calculation of a geometry-optimized Hf2Sn2Rh7 structure, from Alexandria.

N(E_F), states/eV/cell: 10.49
Formation energy from the elements, kcal/mol of atoms: -7.62
DFT total energy, eV/atom: -7.546
V, Å³ per cell: 194.3
Total magnetization, μB/f.u.: 0.00

a b c (Å): 6.6317 6.6317 4.5515
angles (deg): 94.64 94.64 77.42
Fractional coordinates of all 11 atoms:
Hf1 0.2288 0.2288 0.2816
Hf2 0.7712 0.7712 0.7184
Sn1 0.2841 0.7159 0.5000
Sn2 0.7159 0.2841 0.5000
Rh1 0.0673 0.0673 0.7800
Rh2 0.1199 0.4695 0.7764
Rh3 0.4695 0.1199 0.7764
Rh4 0.5000 0.5000 0.0000
Rh5 0.5305 0.8801 0.2236
Rh6 0.8801 0.5305 0.2236
Rh7 0.9327 0.9327 0.2200

=====

The following is a PBE-GGA calculation of a geometry-optimized Hf2Sn2Rh structure, from Alexandria.

N(E_F), states/eV/cell: 4.74
Formation energy from the elements, kcal/mol of atoms: -8.08
DFT total energy, eV/atom: -7.403
V, Å³ per cell: 208.1
Energy relative to the lowest polymorph listed for this composition, eV per atom: 0.000
Total magnetization, μB/f.u.: 0.00

a b c (Å): 6.8427 6.8427 4.4447
angles (deg): 90.00 90.00 90.00
Fractional coordinates of all 10 atoms:
Hf1 0.1614 0.3386 0.0000
Hf2 0.3386 0.8386 0.0000
Hf3 0.6614 0.1614 0.0000
Hf4 0.8386 0.6614 0.0000
Sn1 0.1466 0.6466 0.5000
Sn2 0.3534 0.1466 0.5000
Sn3 0.6466 0.8534 0.5000
Sn4 0.8534 0.3534 0.5000
Rh1 0.0000 0.0000 0.5000
Rh2 0.5000 0.5000 0.5000

=====

The following is a PBE-GGA calculation of a geometry-optimized Hf2SnRh structure, from Alexandria.

N(E_F), states/eV/cell: 4.90
Formation energy from the elements, kcal/mol of atoms: -11.55
DFT total energy, eV/atom: -8.316
V, Å³ per cell: 78.3
Total magnetization, μB/f.u.: 0.00

a b c (Å): 3.0941 3.0941 8.1829
angles (deg): 90.00 90.00 90.00
Fractional coordinates of all 4 atoms:
Hf1 0.0000 0.0000 0.2192
Hf2 0.0000 0.0000 0.7808
Sn1 0.5000 0.5000 0.5000
Rh1 0.5000 0.5000 0.0000

=====

The following is a PBE-GGA calculation of a geometry-optimized HfSnRh5 structure, from Alexandria.

N(E_F), states/eV/cell: 9.78
Formation energy from the elements, kcal/mol of atoms: -10.11
DFT total energy, eV/atom: -7.683
V, Å³ per cell: 118.8
Total magnetization, μB/f.u.: 0.00

a b c (Å): 3.9642 3.9642 7.5618
angles (deg): 90.00 90.00 90.00
Fractional coordinates of all 7 atoms:
Hf1 0.0000 0.0000 0.0000
Sn1 0.5000 0.5000 0.5000
Rh1 0.0000 0.5000 0.2540
Rh2 0.0000 0.5000 0.7460
Rh3 0.5000 0.0000 0.2540
Rh4 0.5000 0.0000 0.7460
Rh5 0.5000 0.5000 0.0000